1.
# Hf3Cu4Bi2Sb2

Hf3Cu4Bi2Sb2 after structural relaxation (GGA-PBE, OQMD via LeMat-Bulk).

Cell: 7.6138 7.6138 7.6138 Å, 131.93 131.93 70.34°
With the nearest neighbours (Å) after each atom.
Positions (direct):
Hf1 0.0000 0.0000 0.0000  4 Cu 2.74
Hf2 0.2500 0.7500 0.5000  4 Cu 2.70
Hf3 0.7500 0.2500 0.5000  4 Cu 2.70
Cu1 0.1348 0.1348 0.5173  2 Sb 2.62-2.78, 2 Bi 2.68, 3 Hf 2.70-2.74
Cu2 0.3825 0.8652 0.0000  2 Sb 2.62-2.78, 2 Bi 2.68, 3 Hf 2.70-2.74
Cu3 0.6175 0.6175 0.4827  2 Sb 2.62-2.78, 2 Bi 2.68, 3 Hf 2.70-2.74
Cu4 0.8652 0.3825 0.0000  2 Sb 2.62-2.78, 2 Bi 2.68, 3 Hf 2.70-2.74
Bi1 0.0000 0.5000 0.5000  4 Cu 2.68
Bi2 0.5000 0.0000 0.5000  4 Cu 2.68
Sb1 0.2522 0.2522 0.0000  4 Cu 2.62-2.78
Sb2 0.7478 0.7478 0.0000  4 Cu 2.62-2.78

Output
- electronic total energy (eV for the cell shown) = -61.192
- SG = I-42m

2.
# HfZn

HfZn after structural relaxation (GGA-PBE, OQMD via LeMat-Bulk).

Cell: 4.8284 5.9386 10.1136 Å, 90.00 90.00 90.00°
With the nearest neighbours (Å) after each atom.
Positions (direct):
Hf1 0.2500 0.0024 0.0851  8 Hf 2.94-3.16, 4 Zn 2.98-3.12
Hf2 0.2500 0.2500 0.3500  10 Zn 2.82-2.97, 2 Hf 3.06
Hf3 0.2500 0.2500 0.8088  6 Zn 2.78-2.97, 4 Hf 3.04
Hf4 0.2500 0.4976 0.0851  8 Hf 2.94-3.16, 4 Zn 2.98-3.12
Hf5 0.7500 0.5024 0.9149  8 Hf 2.94-3.16, 4 Zn 2.98-3.12
Hf6 0.7500 0.7500 0.1912  6 Zn 2.78-2.97, 4 Hf 3.04
Hf7 0.7500 0.7500 0.6500  10 Zn 2.82-2.97, 2 Hf 3.06
Hf8 0.7500 0.9976 0.9149  8 Hf 2.94-3.16, 4 Zn 2.98-3.12
Zn1 0.2500 0.5139 0.5815  7 Zn 2.68-2.95, 4 Hf 2.78-2.88
Zn2 0.2500 0.7500 0.3553  6 Zn 2.68-2.95, 4 Hf 2.93-2.97
Zn3 0.2500 0.7500 0.8209  2 Zn 2.80, 10 Hf 2.97-3.06
Zn4 0.2500 0.9861 0.5815  7 Zn 2.68-2.95, 4 Hf 2.78-2.88
Zn5 0.7500 0.0139 0.4185  7 Zn 2.68-2.95, 4 Hf 2.78-2.88
Zn6 0.7500 0.2500 0.1791  2 Zn 2.80, 10 Hf 2.97-3.06
Zn7 0.7500 0.2500 0.6447  6 Zn 2.68-2.95, 4 Hf 2.93-2.97
Zn8 0.7500 0.4861 0.4185  7 Zn 2.68-2.95, 4 Hf 2.78-2.88

Output
- electronic total energy (eV for the cell shown) = -90.988
- DFT formation energy (meV/atom) = -77
- SG = Pmmn

What is the formula in the first record? Hf3Cu4Bi2Sb2